No. 1
## La2Sm6Th (PBE)

Data for a relaxed structure of La2Sm6Th.

abc: 3.574 9.960 10.610
angles: 117.99 70.41 90.00
Atoms (fractional coordinates):
La  0.334  0.333  0.666
La  0.666  0.667  0.334
Sm  0.830  0.000  0.671
Sm  0.170  0.330  0.329
Sm  0.170  0.000  0.329
Sm  0.500  0.329  0.000
Sm  0.830  0.670  0.671
Sm  0.500  0.671  0.000
Th  0.000  0.000  0.000

Output
**Space-group type**: C2/m (12)
**Energy of formation from the pure elements**: 47 kJ/mol of formula units
**DOS(E_F)**: 13.00 states/eV per cell

=====

No. 2
## LaSmTh4 (PBE)

Data for a relaxed structure of LaSmTh4.

abc: 6.683 6.683 6.683
angles: 60.00 60.00 60.00
Atoms (fractional coordinates):
Sm  0.000  0.000  0.000
Th  0.625  0.625  0.124
Th  0.625  0.124  0.625
Th  0.625  0.625  0.625
Th  0.124  0.625  0.625
La  0.250  0.250  0.250

Output
**Space-group type**: F-43m (216)
**Energy of formation from the pure elements**: 142 kJ/mol of formula units
**DOS(E_F)**: 13.70 states/eV per cell

=====

No. 3
## LaSm4Th2 (PBE)

Data for a relaxed structure of LaSm4Th2.

abc: 5.712 5.712 9.214
angles: 108.06 108.06 90.00
Atoms (fractional coordinates):
La  0.000  0.000  0.000
Sm  0.816  0.816  0.632
Sm  0.184  0.184  0.368
Sm  0.000  0.500  0.000
Sm  0.500  0.000  0.000
Th  0.611  0.611  0.222
Th  0.389  0.389  0.778

Output
**Space-group type**: I4/mmm (139)
**Energy of formation from the pure elements**: 512 kJ/mol of formula units
**DOS(E_F)**: 14.34 states/eV per cell

=====

No. 4
## La3Sm7Th (PBE)

Data for a relaxed structure of La3Sm7Th.

abc: 8.886 7.212 7.212
angles: 120.00 90.00 90.00
Atoms (fractional coordinates):
La  0.778  0.496  0.504
La  0.778  0.496  0.992
La  0.778  0.008  0.504
Sm  0.124  0.169  0.831
Sm  0.124  0.169  0.339
Sm  0.123  0.667  0.333
Sm  0.447  0.833  0.167
Sm  0.447  0.334  0.167
Sm  0.447  0.833  0.666
Sm  0.124  0.661  0.831
Th  0.448  0.333  0.667

Output
**Space-group type**: P3m1 (156)
**Energy of formation from the pure elements**: 180 kJ/mol of formula units
**DOS(E_F)**: 17.60 states/eV per cell

=====

No. 5
## La12Sm5Th (PBE)

Data for a relaxed structure of La12Sm5Th.

abc: 11.080 11.094 6.398
angles: 73.11 90.00 60.05
Atoms (fractional coordinates):
La  0.838  0.000  0.500
La  0.162  0.000  0.500
La  0.672  0.000  0.000
La  0.328  0.000  0.000
La  0.327  0.673  0.997
La  0.999  0.673  0.997
La  0.001  0.327  0.003
La  0.673  0.327  0.003
La  0.499  0.334  0.500
La  0.833  0.666  0.501
La  0.167  0.334  0.499
La  0.501  0.666  0.500
Sm  0.500  0.000  0.500
Sm  0.164  0.672  0.488
Sm  0.836  0.328  0.512
Sm  0.667  0.666  0.002
Sm  0.333  0.334  0.998
Th  0.000  0.000  0.000

Output
**Space-group type**: C2/m (12)
**Energy of formation from the pure elements**: 43 kJ/mol of formula units
**DOS(E_F)**: 34.32 states/eV per cell

=====

No. 6
## LaSm6Th2 (PBE)

Data for a relaxed structure of LaSm6Th2.

abc: 3.611 3.611 27.161
angles: 90.00 90.00 120.00
Atoms (fractional coordinates):
La  0.333  0.667  0.000
Sm  0.667  0.333  0.886
Sm  0.333  0.667  0.437
Sm  0.333  0.667  0.777
Sm  0.333  0.667  0.223
Sm  0.333  0.667  0.563
Sm  0.667  0.333  0.114
Th  0.667  0.333  0.332
Th  0.667  0.333  0.668

Output
**Space-group type**: P-6m2 (187)
**Energy of formation from the pure elements**: 70 kJ/mol of formula units
**DOS(E_F)**: 17.82 states/eV per cell

=====

No. 7
## La2Sm6Th3 (PBE)

Data for a relaxed structure of La2Sm6Th3.

abc: 6.104 6.359 12.407
angles: 79.32 67.30 61.31
Atoms (fractional coordinates):
La  0.144  0.713  0.500
La  0.856  0.287  0.500
Sm  0.514  0.678  0.745
Sm  0.840  0.000  0.767
Sm  0.192  0.322  0.745
Sm  0.160  0.000  0.233
Sm  0.486  0.322  0.255
Sm  0.808  0.678  0.255
Th  0.000  0.000  0.000
Th  0.329  0.341  0.000
Th  0.671  0.659  0.000

Output
**Space-group type**: C2/m (12)
**Energy of formation from the pure elements**: 167 kJ/mol of formula units
**DOS(E_F)**: 17.26 states/eV per cell

=====

No. 8
## La2SmTh2 (PBE)

Data for a relaxed structure of La2SmTh2.

abc: 4.790 4.790 8.435
angles: 106.50 106.50 90.00
Atoms (fractional coordinates):
La  0.400  0.400  0.800
La  0.600  0.600  0.200
Sm  0.000  0.000  0.000
Th  0.750  0.250  0.500
Th  0.250  0.750  0.500

Output
**Space-group type**: I4/mmm (139)
**Energy of formation from the pure elements**: 179 kJ/mol of formula units
**DOS(E_F)**: 7.82 states/eV per cell

=====

No. 9
## LaSmTh (PBE)

Data for a relaxed structure of LaSmTh.

abc: 4.994 4.994 8.689
angles: 90.00 90.00 90.00
Atoms (fractional coordinates):
La  0.000  0.500  0.709
La  0.500  0.000  0.291
Th  0.500  0.500  0.000
Th  0.000  0.000  0.000
Sm  0.500  0.000  0.716
Sm  0.000  0.500  0.284

Output
**Space-group type**: P4/nmm (129)
**Energy of formation from the pure elements**: 47 kJ/mol of formula units
**DOS(E_F)**: 8.57 states/eV per cell

=====

No. 10
## La2Sm12Th (PBE)

Data for a relaxed structure of La2Sm12Th.

abc: 6.564 6.564 25.253
angles: 90.00 90.00 90.00
Atoms (fractional coordinates):
La  0.500  0.000  0.267
La  0.000  0.500  0.267
La  0.000  0.500  0.733
La  0.500  0.000  0.733
Sm  0.500  0.500  0.786
Sm  0.000  0.000  0.786
Sm  0.691  0.809  0.889
Sm  0.191  0.691  0.889
Sm  0.000  0.000  0.338
Sm  0.309  0.809  0.111
Sm  0.832  0.332  0.562
Sm  0.500  0.500  0.338
Sm  0.309  0.191  0.889
Sm  0.809  0.691  0.111
Sm  0.332  0.168  0.562
Sm  0.668  0.168  0.438
Sm  0.000  0.000  0.662
Sm  0.168  0.332  0.438
Sm  0.191  0.309  0.111
Sm  0.832  0.668  0.438
Sm  0.668  0.832  0.562
Sm  0.000  0.000  0.214
Sm  0.168  0.668  0.562
Sm  0.500  0.500  0.662
Sm  0.809  0.309  0.889
Sm  0.500  0.500  0.214
Sm  0.332  0.832  0.438
Sm  0.691  0.191  0.111
Th  0.500  0.000  0.000
Th  0.000  0.500  0.000

Output
**Space-group type**: P4/nbm (125)
**Energy of formation from the pure elements**: 474 kJ/mol of formula units
**DOS(E_F)**: 43.75 states/eV per cell

=====

No. 11
## La6Sm12Th (PBE)

Data for a relaxed structure of La6Sm12Th.

abc: 8.745 8.745 8.745
angles: 89.88 89.88 89.88
Atoms (fractional coordinates):
La  0.742  0.912  0.303
La  0.697  0.258  0.088
La  0.088  0.697  0.258
La  0.258  0.088  0.697
La  0.303  0.742  0.912
La  0.912  0.303  0.742
Sm  0.778  0.534  0.441
Sm  0.441  0.778  0.534
Sm  0.534  0.441  0.778
Sm  0.222  0.466  0.559
Sm  0.559  0.222  0.466
Sm  0.466  0.559  0.222
Sm  0.018  0.195  0.353
Sm  0.805  0.647  0.982
Sm  0.647  0.982  0.805
Sm  0.982  0.805  0.647
Sm  0.195  0.353  0.018
Sm  0.353  0.018  0.195
Th  0.000  0.000  0.000

Output
**Space-group type**: R-3 (148)
**Energy of formation from the pure elements**: 226 kJ/mol of formula units
**DOS(E_F)**: 29.41 states/eV per cell

=====

No. 12
## La6Sm8Th (PBE)

Data for a relaxed structure of La6Sm8Th.

abc: 8.886 8.886 8.886
angles: 63.09 63.09 63.09
Atoms (fractional coordinates):
La  0.905  0.462  0.765
La  0.235  0.095  0.538
La  0.538  0.235  0.095
La  0.462  0.765  0.905
La  0.765  0.905  0.462
La  0.095  0.538  0.235
Sm  0.115  0.708  0.764
Sm  0.236  0.885  0.292
Sm  0.292  0.236  0.885
Sm  0.577  0.577  0.577
Sm  0.423  0.423  0.423
Sm  0.708  0.764  0.115
Sm  0.764  0.115  0.708
Sm  0.885  0.292  0.236
Th  0.000  0.000  0.000

Output
**Space-group type**: R-3 (148)
**Energy of formation from the pure elements**: 154 kJ/mol of formula units
**DOS(E_F)**: 26.01 states/eV per cell

=====

No. 13
## La4Sm5Th2 (PBE)

Data for a relaxed structure of La4Sm5Th2.

abc: 3.613 9.531 12.535
angles: 65.38 98.29 90.00
Atoms (fractional coordinates):
La  0.170  0.040  0.341
La  0.014  0.300  0.028
La  0.830  0.960  0.659
La  0.986  0.700  0.972
Sm  0.876  0.275  0.751
Sm  0.124  0.725  0.249
Sm  0.758  0.660  0.515
Sm  0.500  0.000  0.000
Sm  0.242  0.340  0.485
Th  0.611  0.416  0.222
Th  0.389  0.584  0.778

Output
**Space-group type**: C2/m (12)
**Energy of formation from the pure elements**: 106 kJ/mol of formula units
**DOS(E_F)**: 16.86 states/eV per cell

=====

No. 14
## La2SmTh3 (PBE)

Data for a relaxed structure of La2SmTh3.

abc: 6.818 11.556 7.765
angles: 138.08 90.00 90.00
Atoms (fractional coordinates):
La  0.750  0.437  0.335
La  0.250  0.563  0.665
La  0.250  0.898  0.335
La  0.750  0.102  0.665
Sm  0.250  0.229  0.000
Sm  0.750  0.771  0.000
Th  0.000  0.167  0.334
Th  0.500  0.833  0.666
Th  0.000  0.500  0.000
Th  0.500  0.500  0.000
Th  0.000  0.833  0.666
Th  0.500  0.167  0.334

Output
**Space-group type**: Cmcm (63)
**Energy of formation from the pure elements**: 112 kJ/mol of formula units
**DOS(E_F)**: 17.54 states/eV per cell

=====

No. 15
## La6SmTh3 (PBE)

Data for a relaxed structure of La6SmTh3.

abc: 10.152 10.152 7.164
angles: 44.89 44.89 60.00
Atoms (fractional coordinates):
La  0.921  0.598  0.206
La  0.275  0.921  0.206
La  0.598  0.275  0.206
La  0.105  0.421  0.700
La  0.775  0.105  0.700
La  0.421  0.775  0.700
Sm  0.851  0.851  0.448
Th  0.350  0.350  0.949
Th  0.604  0.604  0.188
Th  0.101  0.101  0.697

Output
**Space-group type**: R3 (146)
**Energy of formation from the pure elements**: 245 kJ/mol of formula units
**DOS(E_F)**: 17.69 states/eV per cell

=====

No. 16
## La2SmTh (PBE)

Data for a relaxed structure of La2SmTh.

abc: 5.175 5.157 5.157
angles: 90.00 90.00 90.00
Atoms (fractional coordinates):
Sm  0.500  0.000  0.000
Th  0.500  0.500  0.500
La  0.000  0.000  0.500
La  0.000  0.500  0.000

Output
**Space-group type**: P4/mmm (123)
**Energy of formation from the pure elements**: 22 kJ/mol of formula units
**DOS(E_F)**: 5.94 states/eV per cell

=====

No. 17
## La10Sm4Th (PBE)

Data for a relaxed structure of La10Sm4Th.

abc: 10.991 9.042 9.042
angles: 68.32 52.57 52.57
Atoms (fractional coordinates):
La  0.250  0.500  0.500
La  0.715  0.350  0.879
La  0.935  0.121  0.350
La  0.406  0.879  0.650
La  0.944  0.650  0.121
La  0.285  0.650  0.121
La  0.750  0.500  0.500
La  0.056  0.350  0.879
La  0.594  0.121  0.350
La  0.065  0.879  0.650
Sm  0.563  0.662  0.212
Sm  0.775  0.788  0.662
Sm  0.225  0.212  0.338
Sm  0.437  0.338  0.788
Th  0.000  0.000  0.000

Output
**Space-group type**: I4/m (87)
**Energy of formation from the pure elements**: 540 kJ/mol of formula units
**DOS(E_F)**: 27.98 states/eV per cell

=====

No. 18
## La2SmTh (PBE)

Data for a relaxed structure of La2SmTh.

abc: 3.661 3.661 12.140
angles: 81.33 81.33 60.00
Atoms (fractional coordinates):
La  0.081  0.081  0.757
La  0.252  0.252  0.243
Sm  0.500  0.500  0.501
Th  0.667  0.667  0.999

Output
**Space-group type**: R3m (160)
**Energy of formation from the pure elements**: 11 kJ/mol of formula units
**DOS(E_F)**: 7.25 states/eV per cell

=====

No. 19
## La2Sm3Th (PBE)

Data for a relaxed structure of La2Sm3Th.

abc: 3.669 8.717 13.110
angles: 90.62 90.00 90.00
Atoms (fractional coordinates):
La  0.250  0.345  0.440
La  0.750  0.655  0.560
La  0.750  0.100  0.890
La  0.250  0.900  0.110
Sm  0.750  0.087  0.611
Sm  0.250  0.913  0.389
Sm  0.750  0.592  0.250
Sm  0.250  0.408  0.750
Sm  0.250  0.356  0.059
Sm  0.750  0.644  0.941
Th  0.250  0.818  0.755
Th  0.750  0.182  0.245

Output
**Space-group type**: P2_1/m (11)
**Energy of formation from the pure elements**: 45 kJ/mol of formula units
**DOS(E_F)**: 18.62 states/eV per cell

=====

No. 20
## La4Sm8Th (PBE)

Data for a relaxed structure of La4Sm8Th.

abc: 7.859 7.859 7.859
angles: 97.42 97.42 97.42
Atoms (fractional coordinates):
La  0.500  0.000  0.500
La  0.000  0.500  0.500
La  0.500  0.500  0.000
La  0.000  0.000  0.000
Sm  0.167  0.668  0.167
Sm  0.833  0.833  0.332
Sm  0.833  0.332  0.833
Sm  0.332  0.833  0.833
Sm  0.763  0.763  0.763
Sm  0.237  0.237  0.237
Sm  0.668  0.167  0.167
Sm  0.167  0.167  0.668
Th  0.500  0.500  0.500

Output
**Space-group type**: R-3m (166)
**Energy of formation from the pure elements**: 484 kJ/mol of formula units
**DOS(E_F)**: 23.32 states/eV per cell

=====

No. 21
## La7Sm2Th2 (PBE)

Data for a relaxed structure of La7Sm2Th2.

abc: 6.284 8.144 8.144
angles: 90.89 75.41 75.41
Atoms (fractional coordinates):
La  0.168  0.057  0.585
La  0.832  0.415  0.943
La  0.832  0.943  0.415
La  0.168  0.585  0.057
La  0.000  0.000  0.000
La  0.595  0.761  0.761
La  0.405  0.239  0.239
Sm  0.500  0.223  0.777
Sm  0.500  0.777  0.223
Th  0.804  0.425  0.425
Th  0.196  0.575  0.575

Output
**Space-group type**: C2/m (12)
**Energy of formation from the pure elements**: 165 kJ/mol of formula units
**DOS(E_F)**: 18.34 states/eV per cell